Model A:
{"formula": "SrMgAsBr2", "functional": "PBE", "state": "relaxed", "cell": [[-2.608, -4.408, -1.069], [2.799, -0.595, -4.380], [3.653, -2.821, 2.718]], "species": ["As", "Mg", "Br", "Sr", "Br"], "fractional_positions": [[0.000, 0.000, 0.500], [0.000, 0.000, 0.000], [0.000, 0.500, 0.000], [0.500, 0.500, 0.500], [0.500, 0.000, 0.000]]}


Model B:
{"formula": "SrMgAsBr2", "functional": "PBE", "state": "relaxed", "cell": [[-3.121, -4.762, 1.059], [4.727, -3.263, -0.744], [1.321, 0.506, 6.172]], "species": ["Mg", "Br", "Br", "Sr", "As"], "fractional_positions": [[0.500, 0.500, 0.500], [0.500, 0.000, 0.000], [0.000, 0.500, 0.000], [0.000, 0.000, 0.000], [0.000, 0.000, 0.500]]}


Which structure is most stable? model A, by 49.3 kJ/mol of atoms over the runner-up.


Model A:
{"formula": "SrMgAs2Br", "functional": "PBE", "state": "relaxed", "cell": [[4.994, 0.000, 0.000], [0.000, 4.994, 0.000], [0.000, 0.000, 5.630]], "species": ["Mg", "As", "As", "Sr", "Br"], "fractional_positions": [[0.000, 0.000, 0.000], [0.500, 0.000, 0.000], [0.000, 0.500, 0.000], [0.500, 0.500, 0.500], [0.000, 0.000, 0.500]]}


Model B:
{"formula": "SrMgAs2Br", "functional": "PBE", "state": "relaxed", "cell": [[-1.238, -5.685, -0.385], [5.565, -1.291, 1.169], [-1.196, -0.117, 5.568]], "species": ["Sr", "Br", "Mg", "As", "As"], "fractional_positions": [[0.000, 0.000, 0.000], [0.000, 0.000, 0.500], [0.500, 0.500, 0.500], [0.500, 0.000, 0.000], [0.000, 0.500, 0.000]]}


Which structure is most stable? model A, by 75.7 kJ/mol of atoms over the runner-up.


Model A:
{"formula": "MgTaAs2Br", "functional": "PBE", "state": "relaxed", "cell": [[4.910, 0.000, 0.000], [0.000, 4.910, 0.000], [0.000, 0.000, 4.937]], "species": ["As", "As", "Mg", "Br", "Ta"], "fractional_positions": [[0.500, 0.000, 0.000], [0.000, 0.500, 0.000], [0.000, 0.000, 0.000], [0.000, 0.000, 0.500], [0.500, 0.500, 0.500]]}


Model B:
{"formula": "MgTaAs2Br", "functional": "PBE", "state": "relaxed", "cell": [[-0.337, 0.091, 5.009], [-0.932, -4.934, 0.027], [5.118, -0.964, 0.361]], "species": ["As", "Br", "As", "Ta", "Mg"], "fractional_positions": [[0.000, 0.500, 0.000], [0.000, 0.000, 0.500], [0.500, 0.000, 0.000], [0.000, 0.000, 0.000], [0.500, 0.500, 0.500]]}


Which structure is most stable? model B, by 85.3 kJ/mol of atoms over the runner-up.


Model A:
{"formula": "MgAsWBr2", "functional": "PBE", "state": "relaxed", "cell": [[-2.508, 0.552, -4.010], [4.007, -0.329, -2.551], [-0.780, -6.431, -0.397]], "species": ["As", "W", "Br", "Mg", "Br"], "fractional_positions": [[0.000, 0.000, 0.500], [0.500, 0.500, 0.500], [0.000, 0.500, 0.000], [0.000, 0.000, 0.000], [0.500, 0.000, 0.000]]}


Model B:
{"formula": "MgAsWBr2", "functional": "PBE", "state": "relaxed", "cell": [[5.274, 0.000, 0.000], [0.000, 5.274, 0.000], [0.000, 0.000, 4.930]], "species": ["Br", "Br", "As", "Mg", "W"], "fractional_positions": [[0.000, 0.500, 0.000], [0.500, 0.000, 0.000], [0.000, 0.000, 0.500], [0.500, 0.500, 0.500], [0.000, 0.000, 0.000]]}


Which structure is most stable? model B, by 51.3 kJ/mol of atoms over the runner-up.


Model A:
{"formula": "MgZnAsBr2", "functional": "PBE", "state": "relaxed", "cell": [[5.124, 0.000, 0.000], [0.000, 5.124, 0.000], [0.000, 0.000, 5.616]], "species": ["Br", "Br", "As", "Mg", "Zn"], "fractional_positions": [[0.000, 0.500, 0.000], [0.500, 0.000, 0.000], [0.000, 0.000, 0.500], [0.000, 0.000, 0.000], [0.500, 0.500, 0.500]]}


Model B:
{"formula": "MgZnAsBr2", "functional": "PBE", "state": "relaxed", "cell": [[5.138, 0.000, 0.000], [0.000, 5.138, 0.000], [0.000, 0.000, 5.130]], "species": ["Br", "Mg", "Br", "Zn", "As"], "fractional_positions": [[0.000, 0.500, 0.000], [0.500, 0.500, 0.500], [0.500, 0.000, 0.000], [0.000, 0.000, 0.000], [0.000, 0.000, 0.500]]}


Which structure is most stable? model A, by 7.1 kJ/mol of atoms over the runner-up.


Model A:
{"formula": "MgZrAsBr2", "functional": "PBE", "state": "relaxed", "cell": [[4.827, 0.000, 0.000], [0.000, 4.827, 0.000], [0.000, 0.000, 5.643]], "species": ["Br", "Mg", "Br", "As", "Zr"], "fractional_positions": [[0.500, 0.000, 0.000], [0.000, 0.000, 0.000], [0.000, 0.500, 0.000], [0.000, 0.000, 0.500], [0.500, 0.500, 0.500]]}


Model B:
{"formula": "MgZrAsBr2", "functional": "PBE", "state": "relaxed", "cell": [[5.271, 0.000, 0.000], [0.000, 5.271, 0.000], [0.000, 0.000, 5.402]], "species": ["Mg", "Br", "Zr", "Br", "As"], "fractional_positions": [[0.500, 0.500, 0.500], [0.000, 0.500, 0.000], [0.000, 0.000, 0.000], [0.500, 0.000, 0.000], [0.000, 0.000, 0.500]]}


Which structure is most stable? model B, by 37.5 kJ/mol of atoms over the runner-up.


Model A:
{"formula": "MgZrAs2Br", "functional": "PBE", "state": "relaxed", "cell": [[-3.959, 2.618, 2.224], [1.049, -2.309, 4.587], [3.299, 3.944, 1.231]], "species": ["Br", "Mg", "As", "As", "Zr"], "fractional_positions": [[0.000, 0.000, 0.500], [0.500, 0.500, 0.500], [0.000, 0.500, 0.000], [0.500, 0.000, 0.000], [0.000, 0.000, 0.000]]}


Model B:
{"formula": "MgZrAs2Br", "functional": "PBE", "state": "relaxed", "cell": [[4.952, 0.000, 0.000], [0.000, 4.952, 0.000], [0.000, 0.000, 4.959]], "species": ["Zr", "Mg", "As", "As", "Br"], "fractional_positions": [[0.500, 0.500, 0.500], [0.000, 0.000, 0.000], [0.000, 0.500, 0.000], [0.500, 0.000, 0.000], [0.000, 0.000, 0.500]]}


Which structure is most stable? model A, by 43.6 kJ/mol of atoms over the runner-up.


Model A:
{"formula": "MnAs2Br", "functional": "PBE", "state": "relaxed", "cell": [[-3.506, -0.347, -0.005], [0.214, -2.192, 2.750], [-0.595, 5.941, 4.782]], "species": ["As", "Br", "As", "Mn"], "fractional_positions": [[0.000, 0.000, 0.006], [0.000, 0.000, 0.580], [0.500, 0.500, 0.127], [0.500, 0.500, 0.787]]}


Model B:
{"formula": "MnAs2Br", "functional": "PBE", "state": "relaxed", "cell": [[6.784, 1.668, 0.000], [3.667, 5.946, 0.000], [-5.225, -3.807, 2.646]], "species": ["As", "As", "Br", "Mn"], "fractional_positions": [[0.500, 0.500, 0.000], [0.000, 0.000, 0.000], [0.250, 0.750, 0.500], [0.750, 0.250, 0.500]]}


Which structure is most stable? model A, by 23.4 kJ/mol of atoms over the runner-up.


Model A:
{"formula": "MnAs2Br", "functional": "PBE", "state": "relaxed", "cell": [[-0.904, -6.028, -1.598], [3.106, -5.021, 2.200], [-3.612, 5.088, 0.876]], "species": ["Mn", "Br", "As", "As"], "fractional_positions": [[0.250, 0.750, 0.500], [0.750, 0.250, 0.500], [0.455, 0.455, 0.000], [0.045, 0.045, 0.000]]}


Model B:
{"formula": "MnAs2Br", "functional": "PBE", "state": "relaxed", "cell": [[-0.342, 3.541, 3.263], [-3.786, 0.393, -2.970], [-4.132, -0.373, 2.471]], "species": ["Mn", "As", "As", "Br"], "fractional_positions": [[0.000, 0.500, 0.500], [0.000, 0.000, 0.000], [0.500, 0.500, 0.000], [0.500, 0.000, 0.500]]}


Model C:
{"formula": "MnAs2Br", "functional": "PBE", "state": "relaxed", "cell": [[5.999, -0.149, 0.000], [-3.742, 4.690, 0.000], [0.000, 0.000, 3.104]], "species": ["Br", "As", "As", "Mn"], "fractional_positions": [[0.500, 0.000, 0.500], [0.500, 0.500, 0.000], [0.000, 0.000, 0.000], [0.000, 0.500, 0.500]]}


Model D:
{"formula": "MnAs2Br", "functional": "PBE", "state": "relaxed", "cell": [[0.000, 3.393, 3.393], [3.393, 0.000, 3.393], [3.393, 3.393, 0.000]], "species": ["As", "Br", "Mn", "As"], "fractional_positions": [[0.250, 0.250, 0.250], [0.500, 0.500, 0.500], [0.000, 0.000, 0.000], [0.750, 0.750, 0.750]]}


Which structure is most stable? model A, by 2.3 kJ/mol of atoms over the runner-up.


Model A:
{"formula": "MnAsBr", "functional": "PBE", "state": "relaxed", "cell": [[4.546, 0.000, 0.000], [2.273, 3.937, 0.000], [2.273, 1.312, 3.712]], "species": ["Br", "Mn", "As"], "fractional_positions": [[0.500, 0.500, 0.500], [0.750, 0.750, 0.750], [0.000, 0.000, 0.000]]}


Model B:
{"formula": "MnAsBr", "functional": "PBE", "state": "relaxed", "cell": [[-0.524, -3.132, -7.282], [-2.600, -4.865, -5.272], [-1.477, 2.282, -1.990]], "species": ["As", "Mn", "Br"], "fractional_positions": [[0.949, 0.949, 0.051], [0.336, 0.336, 0.664], [0.715, 0.715, 0.285]]}


Which structure is most stable? model B, by 26.7 kJ/mol of atoms over the runner-up.


Model A:
{"formula": "MnAsBr", "functional": "PBE", "state": "relaxed", "cell": [[6.979, -0.099, 0.000], [5.572, 4.204, 0.000], [-6.276, -2.052, 2.263]], "species": ["As", "Br", "Mn"], "fractional_positions": [[0.049, 0.049, 0.000], [0.291, 0.291, 0.000], [0.659, 0.659, 0.000]]}


Model B:
{"formula": "MnAsBr", "functional": "PBE", "state": "relaxed", "cell": [[4.711, 0.000, 0.000], [2.356, 4.080, 0.000], [2.356, 1.360, 3.847]], "species": ["Mn", "As", "Br"], "fractional_positions": [[0.500, 0.500, 0.500], [0.750, 0.750, 0.750], [0.000, 0.000, 0.000]]}


Which structure is most stable? model A, by 56.0 kJ/mol of atoms over the runner-up.


Model A:
{"formula": "MnAs2BrN", "functional": "PBE", "state": "relaxed", "cell": [[-3.783, 0.638, -2.242], [-0.638, -4.394, -0.175], [-2.235, 0.172, 3.819]], "species": ["As", "As", "Br", "N", "Mn"], "fractional_positions": [[0.500, 0.000, 0.000], [0.000, 0.500, 0.000], [0.000, 0.000, 0.500], [0.000, 0.000, 0.000], [0.500, 0.500, 0.500]]}


Model B:
{"formula": "MnAs2BrN", "functional": "PBE", "state": "relaxed", "cell": [[4.558, 0.000, 0.000], [0.000, 4.558, 0.000], [0.000, 0.000, 5.306]], "species": ["As", "Mn", "N", "As", "Br"], "fractional_positions": [[0.000, 0.500, 0.000], [0.000, 0.000, 0.000], [0.500, 0.500, 0.500], [0.500, 0.000, 0.000], [0.000, 0.000, 0.500]]}


Which structure is most stable? model A, by 24.8 kJ/mol of atoms over the runner-up.